Here is a relaxed structure of KSiRu2 from Alexandria. Energies are from PBE.

## Properties
The mass density is 5.60 g cm⁻³. The value obtained for the formation energy from raw total energies is 349 meV/atom. Its symmetry is Pmm2.

Cell: 2.788 3.811 7.521 Å, 90.00 90.00 90.00°
Fractional coordinates of all 4 atoms:
1 K 0.000 0.000 0.000
2 Si 0.500 0.500 0.678
3 Ru 0.000 0.000 0.504
4 Ru 0.500 0.500 0.364